! Tb2Ti2O7 (GGA-PBEsol, relaxed); values from VASP
&SYSTEM
  ibrav = 0, nat = 22, ntyp = 3
/
ATOMIC_SPECIES
Tb 158.93 Tb.upf
Ti 47.87 Ti.upf
O 16.00 O.upf
ATOMIC_POSITIONS crystal
Tb 0.000 0.000 0.000
Tb 0.000 0.000 0.500
Tb 0.000 0.500 0.000
Tb 0.500 0.000 0.000
Ti 0.000 0.500 0.500
Ti 0.500 0.000 0.500
Ti 0.500 0.500 0.000
Ti 0.500 0.500 0.500
O 0.125 0.125 0.125
O 0.170 0.170 0.580
O 0.170 0.580 0.170
O 0.170 0.580 0.580
O 0.420 0.420 0.830
O 0.420 0.830 0.420
O 0.420 0.830 0.830
O 0.580 0.170 0.170
O 0.580 0.170 0.580
O 0.580 0.580 0.170
O 0.830 0.420 0.420
O 0.830 0.420 0.830
O 0.830 0.830 0.420
O 0.875 0.875 0.875
CELL_PARAMETERS angstrom
0.000 5.040 5.040
5.040 0.000 5.040
5.040 5.040 0.000
! Total magnetization (μB/f.u.): 0.0
! Space group: Fd-3m, No. 227
! Uncorrected formation energy (eV per atom): -3.377



! Tb2TiO5 (GGA-PBEsol, relaxed); values from VASP
&SYSTEM
  ibrav = 0, nat = 32, ntyp = 3
/
ATOMIC_SPECIES
Tb 158.93 Tb.upf
Ti 47.87 Ti.upf
O 16.00 O.upf
ATOMIC_POSITIONS crystal
Tb 0.131 0.250 0.241
Tb 0.142 0.250 0.575
Tb 0.358 0.750 0.075
Tb 0.369 0.750 0.741
Tb 0.631 0.250 0.259
Tb 0.642 0.250 0.925
Tb 0.858 0.750 0.425
Tb 0.869 0.750 0.759
Ti 0.134 0.250 0.921
Ti 0.366 0.750 0.421
Ti 0.634 0.250 0.579
Ti 0.866 0.750 0.079
O 0.088 0.750 0.149
O 0.104 0.750 0.670
O 0.105 0.750 0.962
O 0.143 0.750 0.487
O 0.236 0.750 0.320
O 0.264 0.250 0.820
O 0.357 0.250 0.987
O 0.395 0.250 0.462
O 0.396 0.250 0.170
O 0.412 0.250 0.649
O 0.588 0.750 0.351
O 0.604 0.750 0.830
O 0.605 0.750 0.538
O 0.643 0.750 0.013
O 0.736 0.750 0.180
O 0.764 0.250 0.680
O 0.857 0.250 0.513
O 0.895 0.250 0.038
O 0.896 0.250 0.330
O 0.912 0.250 0.851
CELL_PARAMETERS angstrom
7.460 0.000 0.000
0.000 3.585 0.000
0.000 0.000 15.378
! Total magnetization (μB/f.u.): 0.0
! Space group: Pnma, No. 62
! Uncorrected formation energy (eV per atom): -3.437



! Tb2Ti2O7 (GGA-PBEsol, relaxed); values from VASP
&SYSTEM
  ibrav = 0, nat = 44, ntyp = 3
/
ATOMIC_SPECIES
Tb 158.93 Tb.upf
Ti 47.87 Ti.upf
O 16.00 O.upf
ATOMIC_POSITIONS crystal
Tb 0.128 0.362 0.383
Tb 0.138 0.628 0.633
Tb 0.362 0.128 0.617
Tb 0.372 0.862 0.867
Tb 0.628 0.138 0.367
Tb 0.638 0.872 0.117
Tb 0.862 0.372 0.133
Tb 0.872 0.638 0.883
Ti 0.094 0.872 0.100
Ti 0.128 0.906 0.400
Ti 0.372 0.406 0.850
Ti 0.406 0.372 0.150
Ti 0.594 0.628 0.650
Ti 0.628 0.594 0.350
Ti 0.872 0.094 0.900
Ti 0.906 0.128 0.600
O 0.062 0.914 0.910
O 0.077 0.323 0.575
O 0.086 0.938 0.590
O 0.133 0.867 0.250
O 0.142 0.656 0.448
O 0.156 0.358 0.198
O 0.177 0.577 0.825
O 0.323 0.077 0.425
O 0.344 0.858 0.052
O 0.358 0.156 0.802
O 0.367 0.367 0.000
O 0.414 0.438 0.660
O 0.423 0.823 0.675
O 0.438 0.414 0.340
O 0.562 0.586 0.840
O 0.577 0.177 0.175
O 0.586 0.562 0.160
O 0.633 0.633 0.500
O 0.642 0.844 0.302
O 0.656 0.142 0.552
O 0.677 0.923 0.925
O 0.823 0.423 0.325
O 0.844 0.642 0.698
O 0.858 0.344 0.948
O 0.867 0.133 0.750
O 0.914 0.062 0.090
O 0.923 0.677 0.075
O 0.938 0.086 0.410
CELL_PARAMETERS angstrom
7.028 0.000 0.000
0.000 7.028 0.000
0.000 0.000 12.092
! Total magnetization (μB/f.u.): 0.0
! Space group: P4_12_12, No. 92
! Uncorrected formation energy (eV per atom): -3.343



! TbTiO3 (GGA-PBEsol, relaxed); values from VASP
&SYSTEM
  ibrav = 0, nat = 20, ntyp = 3
/
ATOMIC_SPECIES
Tb 158.93 Tb.upf
Ti 47.87 Ti.upf
O 16.00 O.upf
ATOMIC_POSITIONS crystal
Tb 0.073 0.250 0.022
Tb 0.427 0.750 0.522
Tb 0.573 0.250 0.478
Tb 0.927 0.750 0.978
Ti 0.000 0.000 0.500
Ti 0.000 0.500 0.500
Ti 0.500 0.000 0.000
Ti 0.500 0.500 0.000
O 0.043 0.750 0.382
O 0.198 0.556 0.810
O 0.198 0.944 0.810
O 0.302 0.056 0.310
O 0.302 0.444 0.310
O 0.457 0.250 0.882
O 0.543 0.750 0.118
O 0.698 0.556 0.690
O 0.698 0.944 0.690
O 0.802 0.056 0.190
O 0.802 0.444 0.190
O 0.957 0.250 0.618
CELL_PARAMETERS angstrom
5.665 0.000 0.000
0.000 7.596 0.000
0.000 0.000 5.282
! Total magnetization (μB/f.u.): 1.0
! Space group: Pnma, No. 62
! Uncorrected formation energy (eV per atom): -3.278